Computed, not measured: crystalline Ag3SnSe at its relaxed geometry at the PBE level of DFT.

Its uncorrected formation energy is 0.387 eV/atom. Its magnetization is 0.0 μB per formula unit. As for the total energy: -2.821 eV/atom. The calculation puts the density of states at the Fermi level at 0.7665 states/eV/atom. The value obtained for the theoretical density is 6.61 g/cm3.

The space group is Pm-3m (No. 221) and the conventional cell measures 5.0773, 5.0773 and 5.0773 Å, with angles of 90.00, 90.00 and 90.00 degrees. The inequivalent atoms are Ag at (0.0000, 0.0000, 0.5000), Sn at (0.5000, 0.5000, 0.5000) and Se at (0.0000, 0.0000, 0.0000).